1.
Below is an optimized crystal structure of BaTa6N8O, with properties calculated at the PBE level.

The structure in POSCAR format:
```
BaTa6N8O
1.0
-4.906 5.167 2.769
4.906 -5.167 2.769
4.906 5.167 -2.769
Ba N O Ta
1 8 1 6
Direct
0.178 0.178 0.000
0.522 0.133 0.105
0.464 0.719 0.255
0.131 0.848 0.283
0.522 0.418 0.389
0.028 0.133 0.611
0.564 0.848 0.717
0.464 0.209 0.745
0.028 0.418 0.895
0.920 0.420 0.500
0.263 0.747 0.123
0.811 0.490 0.321
0.624 0.747 0.484
0.263 0.140 0.516
0.169 0.490 0.679
0.624 0.140 0.877
```

- magnetic moment (μB per cell) = 0.0
- symmetry = Imm2 (44)

2.
Below is an optimized crystal structure of Cu2SiS3, with properties calculated at the PBE level.

The structure in POSCAR format:
```
Cu2SiS3
1.0
-4.925 -0.519 -3.404
1.170 5.491 -2.158
3.736 0.423 -5.283
Cu S Si
4 6 2
Direct
0.617 0.895 0.242
0.728 0.141 0.485
0.228 0.626 0.515
0.117 0.137 0.758
0.257 0.968 0.140
0.896 0.459 0.147
0.359 0.288 0.467
0.859 0.755 0.533
0.396 0.605 0.853
0.757 0.109 0.860
0.224 0.308 0.156
0.724 0.464 0.844
```

- symmetry = Cc (9)

Number 1: V 17.6 Å³ per atom, E -161.2 eV for the cell shown. Number 2: V 17.3 Å³ per atom, E -55.0 eV for the cell shown.